Model P:
Compound: SiAs2
Source: Alexandria
Functional: PBEsol
Structure: optimized geometry

Results
Mass density (g/cm³): 4.4
SG: C2/m (12)

Lattice parameters (Å, degrees): 3.660 6.117 6.835 111.83 90.00 107.41
Positions (direct):
As1 0.597 0.195 0.877
As2 0.831 0.661 0.556
As3 0.169 0.339 0.444
As4 0.403 0.805 0.123
Si1 0.192 0.384 0.112
Si2 0.808 0.616 0.888

---

Model Q:
Compound: SiAs2
Source: Alexandria
Functional: PBEsol
Structure: optimized geometry

Results
Mass density (g/cm³): 4.4
SG: Pbam (55)

Lattice parameters (Å, degrees): 3.672 10.001 14.612 90.00 90.00 90.00
Positions (direct):
As1 0.000 0.644 0.298
As2 0.000 0.356 0.702
As3 0.000 0.144 0.202
As4 0.000 0.856 0.798
As5 0.000 0.764 0.040
As6 0.000 0.236 0.960
As7 0.000 0.264 0.460
As8 0.000 0.736 0.540
As9 0.500 0.893 0.115
As10 0.500 0.107 0.885
As11 0.500 0.393 0.385
As12 0.500 0.607 0.615
As13 0.500 0.936 0.398
As14 0.500 0.064 0.602
As15 0.500 0.436 0.102
As16 0.500 0.564 0.898
Si1 0.000 0.577 0.142
Si2 0.000 0.423 0.858
Si3 0.000 0.077 0.358
Si4 0.000 0.923 0.642
Si5 0.500 0.792 0.267
Si6 0.500 0.208 0.733
Si7 0.500 0.292 0.233
Si8 0.500 0.708 0.767

---

Consider the structures shown above. The least stable of them is model P.